Record 1
# KSrNF2 SCAN PBEsol geometry
data_KSrNF2
_cell_length_a 4.679
_cell_length_b 4.679
_cell_length_c 5.057
_cell_angle_alpha 90.00
_cell_angle_beta 90.00
_cell_angle_gamma 90.00
_space_group_name_H-M_alt 'P 1'
_space_group_IT_number 1
loop_
_space_group_symop_operation_xyz
'x,y,z'
loop_
_atom_site_label
_atom_site_type_symbol
_atom_site_fract_x
_atom_site_fract_y
_atom_site_fract_z
K1 K 0.000 0.000 0.000
Sr1 Sr 0.500 0.500 0.500
N1 N 0.500 0.500 0.000
F1 F 0.000 0.500 0.500
F2 F 0.500 0.000 0.500
# - Formation energy (no corrections): -1.868 eV/atom
# - Symmetry: No. 123
# - Raw total energy: -11.263 eV/atom
# - M_tot: 2.0 μB/f.u.
# - Calculated volume: 111 Å³ per cell



Record 2
# CaTe2WI SCAN PBEsol geometry
data_CaTe2WI
_cell_length_a 5.758
_cell_length_b 5.758
_cell_length_c 5.556
_cell_angle_alpha 90.00
_cell_angle_beta 90.00
_cell_angle_gamma 90.00
_space_group_name_H-M_alt 'P 1'
_space_group_IT_number 1
loop_
_space_group_symop_operation_xyz
'x,y,z'
loop_
_atom_site_label
_atom_site_type_symbol
_atom_site_fract_x
_atom_site_fract_y
_atom_site_fract_z
Ca1 Ca 0.000 0.000 0.000
Te1 Te 0.000 0.500 0.000
Te2 Te 0.500 0.000 0.000
W1 W 0.500 0.500 0.500
I1 I 0.000 0.000 0.500
# - Formation energy (no corrections): 1.054 eV/atom
# - Symmetry: No. 123
# - Raw total energy: -37.065 eV/atom
# - M_tot: 3.1 μB/f.u.
# - Calculated volume: 184 Å³ per cell



Record 3
# AgRu2Pb SCAN PBEsol geometry
data_AgRu2Pb
_cell_length_a 2.899
_cell_length_b 4.555
_cell_length_c 5.103
_cell_angle_alpha 90.00
_cell_angle_beta 92.53
_cell_angle_gamma 90.00
_space_group_name_H-M_alt 'P 1'
_space_group_IT_number 1
loop_
_space_group_symop_operation_xyz
'x,y,z'
loop_
_atom_site_label
_atom_site_type_symbol
_atom_site_fract_x
_atom_site_fract_y
_atom_site_fract_z
Ag1 Ag 0.000 0.000 0.000
Ru1 Ru 0.277 0.500 0.781
Ru2 Ru 0.723 0.500 0.219
Pb1 Pb 0.500 0.000 0.500
# - Symmetry: No. 10
# - Raw total energy: -43.461 eV/atom
# - ΔE_f: 0.739 eV per atom
# - M_tot: 1.0 μB/f.u.
# - Calculated volume: 67 Å³ per cell



Record 4
# SrTeHN2 SCAN PBEsol geometry
data_SrTeHN2
_cell_length_a 4.863
_cell_length_b 4.863
_cell_length_c 6.631
_cell_angle_alpha 90.00
_cell_angle_beta 90.00
_cell_angle_gamma 90.00
_space_group_name_H-M_alt 'P 1'
_space_group_IT_number 1
loop_
_space_group_symop_operation_xyz
'x,y,z'
loop_
_atom_site_label
_atom_site_type_symbol
_atom_site_fract_x
_atom_site_fract_y
_atom_site_fract_z
Sr1 Sr 0.000 0.000 0.000
Te1 Te 0.000 0.000 0.500
H1 H 0.500 0.500 0.500
N1 N 0.000 0.500 0.000
N2 N 0.500 0.000 0.000
# - Symmetry: No. 123
# - Raw total energy: -14.632 eV/atom
# - M_tot: 4.4 μB/f.u.
# - Calculated volume: 157 Å³ per cell



Record 5
# ScTaBi2 SCAN PBEsol geometry
data_ScTaBi2
_cell_length_a 7.950
_cell_length_b 7.950
_cell_length_c 7.950
_cell_angle_alpha 131.52
_cell_angle_beta 131.52
_cell_angle_gamma 70.98
_space_group_name_H-M_alt 'P 1'
_space_group_IT_number 1
loop_
_space_group_symop_operation_xyz
'x,y,z'
loop_
_atom_site_label
_atom_site_type_symbol
_atom_site_fract_x
_atom_site_fract_y
_atom_site_fract_z
Sc1 Sc 0.000 0.000 0.000
Sc2 Sc 0.750 0.250 0.500
Ta1 Ta 0.250 0.750 0.500
Ta2 Ta 0.500 0.500 0.000
Bi1 Bi 0.143 0.625 0.018
Bi2 Bi 0.375 0.393 0.518
Bi3 Bi 0.607 0.125 0.982
Bi4 Bi 0.875 0.857 0.482
# - Symmetry: No. 122
# - Raw total energy: -58.823 eV/atom
# - ΔE_f: 0.672 eV per atom
# - M_tot: 2.0 μB/f.u.
# - Calculated volume: 276 Å³ per cell



Record 6
# Mg3Au4 SCAN PBEsol geometry
data_Mg3Au4
_cell_length_a 10.443
_cell_length_b 10.443
_cell_length_c 10.443
_cell_angle_alpha 160.77
_cell_angle_beta 160.77
_cell_angle_gamma 27.32
_space_group_name_H-M_alt 'P 1'
_space_group_IT_number 1
loop_
_space_group_symop_operation_xyz
'x,y,z'
loop_
_atom_site_label
_atom_site_type_symbol
_atom_site_fract_x
_atom_site_fract_y
_atom_site_fract_z
Mg1 Mg 0.000 0.000 0.000
Mg2 Mg 0.294 0.294 0.000
Mg3 Mg 0.706 0.706 0.000
Au1 Au 0.149 0.149 0.000
Au2 Au 0.431 0.431 0.000
Au3 Au 0.569 0.569 0.000
Au4 Au 0.851 0.851 0.000
# - Symmetry: No. 139
# - Raw total energy: -42.243 eV/atom
# - ΔE_f: -0.593 eV per atom
# - M_tot: 0.0 μB/f.u.
# - Calculated volume: 123 Å³ per cell